Entry 1:
CrCu3Au12 | GGA-PBE | optimized geometry

abc: 4.085 4.085 16.240
angles: 90.00 90.00 90.00
Space group P4/mmm (No. 123)
Asymmetric unit:
1 Cr 0.000 0.000 0.000
2 Cu 0.000 0.000 0.253
3 Cu 0.000 0.000 0.500
4 Au 0.000 0.500 0.128
5 Au 0.000 0.500 0.377
6 Au 0.500 0.500 0.000
7 Au 0.500 0.500 0.252
8 Au 0.500 0.500 0.500

Properties
Electronic total energy   -3.82 eV/atom
Formation energy   0.004 eV/atom
V   16.938 A^3/atom
Density   16.0 g/cm³

=====

Entry 2:
Cr2CuAu | GGA-PBE | optimized geometry

abc: 6.158 6.158 6.158
angles: 90.00 90.00 90.00
Space group F-43m (No. 216)
Asymmetric unit:
1 Cr 0.000 0.000 0.000
2 Cr 0.250 0.250 0.250
3 Cu 0.000 0.000 0.500
4 Au 0.250 0.250 0.750

Properties
Electronic total energy   -6.43 eV/atom
Formation energy   0.226 eV/atom
V   14.595 A^3/atom
Density   10.4 g/cm³

=====

Entry 3:
Cr2CuAu | GGA-PBE | optimized geometry

abc: 9.113 3.347 3.840
angles: 90.00 112.06 90.00
Space group C2/m (No. 12)
Asymmetric unit:
1 Cr 0.247 0.000 0.194
2 Cu 0.000 0.500 0.000
3 Au 0.000 0.000 0.500

Properties
Electronic total energy   -6.31 eV/atom
Formation energy   0.349 eV/atom
V   13.570 A^3/atom
Density   11.2 g/cm³

=====

Entry 4:
CrCuAu2 | GGA-PBE | optimized geometry

abc: 2.9209 2.9209 26.4427
angles: 90.00 90.00 120.00
Space group R3m (No. 160, hexagonal axes)
Asymmetric unit:
1 Cr 0.0000 0.0000 0.0000
2 Cu 0.0000 0.0000 0.2582
3 Au 0.0000 0.0000 0.5106
4 Au 0.0000 0.0000 0.7500

Properties
Electronic total energy   -4.80 eV/atom
Formation energy   0.270 eV/atom
V   16.281 A^3/atom
Density   13.0 g/cm³

=====

Entry 5:
CrCuAu2 | GGA-PBE | optimized geometry

abc: 7.218 7.218 5.443
angles: 90.00 90.00 90.00
Space group I-42d (No. 122)
Asymmetric unit:
1 Cr 0.000 0.000 0.000
2 Cu 0.000 0.000 0.500
3 Au 0.234 0.250 0.625

Properties
Electronic total energy   -4.73 eV/atom
Formation energy   0.342 eV/atom
V   17.722 A^3/atom
Density   11.9 g/cm³

=====

Entry 6:
Cr2CuAu | GGA-PBE | optimized geometry

abc: 3.098 3.171 5.768
angles: 90.00 90.00 90.00
Space group Pmm2 (No. 25)
Asymmetric unit:
1 Cr 0.000 0.000 0.000
2 Cr 0.500 0.500 0.208
3 Cu 0.000 0.000 0.453
4 Au 0.500 0.500 0.708

Properties
Electronic total energy   -6.52 eV/atom
Formation energy   0.138 eV/atom
V   14.168 A^3/atom
Density   10.7 g/cm³

=====

Entry 7:
CrCuAu | GGA-PBE | optimized geometry

abc: 4.3591 4.3591 2.8386
angles: 90.00 90.00 120.00
Space group P3m1 (No. 156)
Asymmetric unit:
1 Cr 0.0000 0.0000 0.0000
2 Cu 0.6667 0.3333 0.3131
3 Au 0.3333 0.6667 0.5871

Properties
Electronic total energy   -5.39 eV/atom
Formation energy   0.273 eV/atom
Polymorph energy (0 for the lowest one)   0.0800 eV per atom
V   15.571 A^3/atom
Density   11.1 g/cm³

=====

Entry 8:
CrCu5Au8 | GGA-PBE | optimized geometry

abc: 7.745 7.745 7.825
angles: 90.00 90.00 90.00
Space group I-4 (No. 82)
Asymmetric unit:
1 Cr 0.000 0.000 0.000
2 Cu 0.000 0.500 0.250
3 Cu 0.126 0.724 0.653
4 Au 0.070 0.831 0.320
5 Au 0.094 0.667 0.979

Properties
Electronic total energy   -3.90 eV/atom
Formation energy   0.122 eV/atom
V   16.764 A^3/atom
Density   13.8 g/cm³

=====

Entry 9:
CrCu5Au6 | GGA-PBE | optimized geometry

abc: 4.535 6.044 6.941
angles: 90.00 104.20 90.00
Space group P2/m (No. 10)
Asymmetric unit:
1 Cr 0.000 0.000 0.000
2 Cu 0.000 0.500 0.000
3 Cu 0.296 0.500 0.674
4 Cu 0.297 0.000 0.674
5 Au 0.203 0.252 0.341
6 Au 0.500 0.255 0.000

Properties
Electronic total energy   -4.15 eV/atom
Formation energy   -0.004 eV/atom
V   15.371 A^3/atom
Density   14.0 g/cm³

=====

Entry 10:
Cr4CuAu | GGA-PBE | optimized geometry

abc: 6.775 6.775 6.775
angles: 90.00 90.00 90.00
Space group F-43m (No. 216)
Asymmetric unit:
1 Cr 0.121 0.121 0.121
2 Cu 0.250 0.250 0.750
3 Au 0.000 0.000 0.500

Properties
Electronic total energy   -7.28 eV/atom
Formation energy   0.361 eV/atom
V   12.957 A^3/atom
Density   10.0 g/cm³

=====

Entry 11:
CrCuAu | GGA-PBE | optimized geometry

abc: 3.279 3.279 8.438
angles: 90.00 90.00 90.00
Space group I4mm (No. 107)
Asymmetric unit:
1 Cr 0.000 0.000 0.000
2 Cu 0.000 0.000 0.657
3 Au 0.000 0.000 0.328

Properties
Electronic total energy   -5.47 eV/atom
Formation energy   0.193 eV/atom
Polymorph energy (0 for the lowest one)   0.0000 eV per atom
V   15.118 A^3/atom
Density   11.4 g/cm³

=====

Entry 12:
CrCuAu2 | GGA-PBE | optimized geometry

abc: 3.962 3.962 8.147
angles: 90.00 90.00 90.00
Space group I-4m2 (No. 119)
Asymmetric unit:
1 Cr 0.000 0.000 0.000
2 Cu 0.000 0.500 0.250
3 Au 0.000 0.000 0.500
4 Au 0.000 0.500 0.750

Properties
Electronic total energy   -4.99 eV/atom
Formation energy   0.079 eV/atom
V   15.986 A^3/atom
Density   13.2 g/cm³

=====

Entry 13:
CrCuAu2 | GGA-PBE | optimized geometry

abc: 3.095 3.438 6.001
angles: 90.00 90.00 90.00
Space group Pmmm (No. 47)
Asymmetric unit:
1 Cr 0.000 0.000 0.000
2 Cu 0.000 0.000 0.500
3 Au 0.500 0.500 0.257

Properties
Electronic total energy   -4.99 eV/atom
Formation energy   0.074 eV/atom
V   15.967 A^3/atom
Density   13.2 g/cm³

=====

Entry 14:
Cr2CuAu | GGA-PBE | optimized geometry

abc: 3.513 3.513 18.651
angles: 90.00 90.00 90.00
Space group I-42d (No. 122)
Asymmetric unit:
1 Cr 0.201 0.250 0.125
2 Cu 0.000 0.000 0.000
3 Au 0.000 0.000 0.500

Properties
Electronic total energy   -5.98 eV/atom
Formation energy   0.674 eV/atom
V   14.385 A^3/atom
Density   10.5 g/cm³

=====

Entry 15:
Cr2CuAu | GGA-PBE | optimized geometry

abc: 2.966 4.421 8.410
angles: 90.00 90.00 90.00
Space group Cmm2 (No. 35)
Asymmetric unit:
1 Cr 0.000 0.000 0.000
2 Cr 0.000 0.500 0.202
3 Cu 0.000 0.000 0.447
4 Au 0.000 0.500 0.719

Properties
Electronic total energy   -6.39 eV/atom
Formation energy   0.265 eV/atom
V   13.788 A^3/atom
Density   11.0 g/cm³

=====

Entry 16:
CrCuAu2 | GGA-PBE | optimized geometry

abc: 6.387 6.387 6.387
angles: 90.00 90.00 90.00
Space group F-43m (No. 216)
Asymmetric unit:
1 Cr 0.000 0.000 0.000
2 Cu 0.250 0.250 0.250
3 Au 0.000 0.000 0.500
4 Au 0.250 0.250 0.750

Properties
Electronic total energy   -4.92 eV/atom
Formation energy   0.147 eV/atom
V   16.285 A^3/atom
Density   13.0 g/cm³

=====

Entry 17:
Cr2CuAu | GGA-PBE | optimized geometry

abc: 5.041 8.268 2.579
angles: 90.00 90.00 90.00
Space group Cmmm (No. 65)
Asymmetric unit:
1 Cr 0.250 0.250 0.000
2 Cu 0.000 0.000 0.500
3 Au 0.000 0.500 0.500

Properties
Electronic total energy   -6.22 eV/atom
Formation energy   0.436 eV/atom
V   13.439 A^3/atom
Density   11.3 g/cm³

=====

Entry 18:
Cr2CuAu | GGA-PBE | optimized geometry

abc: 3.909 3.909 7.641
angles: 90.00 90.00 90.00
Space group I-4m2 (No. 119)
Asymmetric unit:
1 Cr 0.000 0.000 0.000
2 Cr 0.000 0.500 0.250
3 Cu 0.000 0.500 0.750
4 Au 0.000 0.000 0.500

Properties
Electronic total energy   -6.51 eV/atom
Formation energy   0.146 eV/atom
V   14.596 A^3/atom
Density   10.4 g/cm³

=====

Entry 19:
CrCuAu2 | GGA-PBE | optimized geometry

abc: 9.388 3.209 4.476
angles: 90.00 107.50 90.00
Space group Cm (No. 8)
Asymmetric unit:
1 Cr 0.000 0.000 0.000
2 Cu 0.242 0.500 0.274
3 Au 0.249 0.000 0.782
4 Au 0.486 0.000 0.482

Properties
Electronic total energy   -4.95 eV/atom
Formation energy   0.118 eV/atom
V   16.076 A^3/atom
Density   13.2 g/cm³

=====

Entry 20:
Cr2CuAu | GGA-PBE | optimized geometry

abc: 2.6626 2.6626 26.6408
angles: 90.00 90.00 120.00
Space group R-3m (No. 166, hexagonal axes)
Asymmetric unit:
1 Cr 0.0000 0.0000 0.2458
2 Cu 0.0000 0.0000 0.5000
3 Au 0.0000 0.0000 0.0000

Properties
Electronic total energy   -6.10 eV/atom
Formation energy   0.555 eV/atom
V   13.630 A^3/atom
Density   11.1 g/cm³